<P>
## GaAgW3 (PBE-GGA)

Data for a relaxed GaAgW3 crystal.

Output
Total magnetization, μB per cell: 0.0
Density of states at the Fermi level, states/eV/f.u.: 4.8
V, Å³/atom: 19.37

Cell lengths 4.5925, 4.5925, 4.5925 Å; angles 90.00, 90.00, 90.00 degrees
With the nearest neighbours (Å) after each atom.
Space group Pm-3m (No. 221)
Symmetry-distinct sites (fractional):
Ga  0.0000  0.0000  0.0000 (multiplicity 1)  6 W 2.30
Ag  0.5000  0.5000  0.5000 (multiplicity 1)  12 W 3.25
W  0.0000  0.0000  0.5000 (multiplicity 3)  2 Ga 2.30

<Q>
## GaAgW3 (PBE-GGA)

Data for a relaxed GaAgW3 crystal.

Output
Total magnetization, μB per cell: 0.0
Density of states at the Fermi level, states/eV/f.u.: 7.5
V, Å³/atom: 21.94

Cell lengths 4.7869, 4.7869, 4.7869 Å; angles 90.00, 90.00, 90.00 degrees
With the nearest neighbours (Å) after each atom.
Space group Pm-3m (No. 221)
Symmetry-distinct sites (fractional):
Ga  0.0000  0.0000  0.0000 (multiplicity 1)  12 W 3.38
Ag  0.5000  0.5000  0.5000 (multiplicity 1)  6 W 2.39
W  0.0000  0.5000  0.5000 (multiplicity 3)  2 Ag 2.39

Quick look at relative energies in meV/atom: <P> 0; <Q> 871.

<P>
## YGa2Ag6 (PBE-GGA)

Data for a relaxed YGa2Ag6 crystal.

Output
Total magnetization, μB per cell: 0.0
Density of states at the Fermi level, states/eV/f.u.: 3.9
V, Å³/atom: 19.11

Cell lengths 4.2229, 4.2229, 9.6430 Å; angles 90.00, 90.00, 90.00 degrees
With the nearest neighbours (Å) after each atom.
Space group P4/mmm (No. 123)
Symmetry-distinct sites (fractional):
Y  0.0000  0.0000  0.0000 (multiplicity 1)  8 Ga 3.22, 8 Ag 3.49
Ga  0.5000  0.5000  0.1251 (multiplicity 2)  1 Ga 2.41, 4 Ag 2.63
Ag  0.0000  0.0000  0.5000 (multiplicity 1)  12 Ag 2.94-2.99
Ag  0.0000  0.5000  0.2877 (multiplicity 4)  2 Ga 2.63, 4 Ag 2.94
Ag  0.5000  0.5000  0.5000 (multiplicity 1)  12 Ag 2.94-2.99

<Q>
## YGa2Ag6 (PBE-GGA)

Data for a relaxed YGa2Ag6 crystal.

Output
Total magnetization, μB per cell: 0.0
Density of states at the Fermi level, states/eV/f.u.: 3.0
V, Å³/atom: 20.05

Cell lengths 13.8034, 8.2765, 3.2495 Å; angles 90.00, 103.51, 90.00 degrees
With the nearest neighbours (Å) after each atom.
Space group C2/m (No. 12)
Symmetry-distinct sites (fractional):
Y  0.0000  0.0000  0.0000 (multiplicity 2)  12 Ag 3.20-3.21, 2 Y 3.25
Ga  0.1463  0.5000  0.1368 (multiplicity 4)  6 Ag 2.74-2.92
Ag  0.0000  0.3325  0.5000 (multiplicity 4)  3 Ag 2.75-2.77, 4 Ga 2.89-2.92
Ag  0.1779  0.1687  0.6790 (multiplicity 8)  1 Ga 2.74, 4 Ag 2.75-2.87

Quick look at relative energies in meV/atom: <P> 0; <Q> 169.

<P>
## Y3GaAg (PBE-GGA)

Data for a relaxed Y3GaAg crystal.

Output
Total magnetization, μB per cell: 1.3
Density of states at the Fermi level, states/eV/f.u.: 8.0
V, Å³/atom: 32.28

Cell lengths 5.4449, 5.4449, 5.4449 Å; angles 90.00, 90.00, 90.00 degrees
With the nearest neighbours (Å) after each atom.
Space group Pm-3m (No. 221)
Symmetry-distinct sites (fractional):
Y  0.0000  0.0000  0.5000 (multiplicity 3)  2 Ga 2.72
Ga  0.0000  0.0000  0.0000 (multiplicity 1)  6 Y 2.72
Ag  0.5000  0.5000  0.5000 (multiplicity 1)  12 Y 3.85

<Q>
## Y3GaAg (PBE-GGA)

Data for a relaxed Y3GaAg crystal.

Output
Total magnetization, μB per cell: 0.0
Density of states at the Fermi level, states/eV/f.u.: 5.6
V, Å³/atom: 25.84

Cell lengths 5.0567, 20.2086, 5.0566 Å; angles 90.00, 90.00, 90.00 degrees
With the nearest neighbours (Å) after each atom.
Space group Cmcm (No. 63)
Symmetry-distinct sites (fractional):
Y  0.0000  0.0667  0.2500 (multiplicity 4)  2 Ga 3.14, 2 Ag 3.16
Y  0.0000  0.2500  0.2500 (multiplicity 4)  4 Ag 3.11, 4 Ga 3.13
Y  0.0000  0.4332  0.2500 (multiplicity 4)  2 Ga 3.14, 2 Ag 3.16
Ga  0.0000  0.1587  0.7500 (multiplicity 4)  8 Y 3.13-3.14
Ag  0.0000  0.3394  0.7500 (multiplicity 4)  8 Y 3.11-3.16

<R>
## Y3GaAg (PBE-GGA)

Data for a relaxed Y3GaAg crystal.

Output
Total magnetization, μB per cell: 0.0
Density of states at the Fermi level, states/eV/f.u.: 4.5
V, Å³/atom: 27.06

Cell lengths 17.0026, 11.0121, 6.1954 Å; angles 90.00, 111.06, 90.00 degrees
With the nearest neighbours (Å) after each atom.
Space group C2/c (No. 15)
Symmetry-distinct sites (fractional):
Y  0.0992  0.2483  0.4692 (multiplicity 8)  2 Ag 2.84-3.00, 2 Ga 2.86-2.92
Y  0.1038  0.4394  0.9693 (multiplicity 8)  1 Ga 2.88, 1 Ag 3.03
Y  0.1858  0.1152  0.0706 (multiplicity 8)  3 Ga 2.99-3.32, 1 Ag 3.27
Ga  0.2391  0.3666  0.3849 (multiplicity 8)  5 Y 2.86-3.16, 1 Ga 2.90
Ag  0.0000  0.0267  0.2500 (multiplicity 4)  1 Ag 2.70, 2 Y 3.00
Ag  0.0000  0.2183  0.7500 (multiplicity 4)  1 Ag 2.70, 2 Y 2.84

Quick look at relative energies in meV/atom: <P> 523; <Q> 0; <R> 123.

<P>
## Y2Ga3Ag5 (PBE-GGA)

Data for a relaxed Y2Ga3Ag5 crystal.

Output
Total magnetization, μB per cell: 0.0
Density of states at the Fermi level, states/eV/f.u.: 4.4
V, Å³/atom: 19.97

Cell lengths 4.5522, 24.9483, 7.0320 Å; angles 90.00, 90.00, 90.00 degrees
With the nearest neighbours (Å) after each atom.
Space group Cmc2_1 (No. 36)
Symmetry-distinct sites (fractional):
Y  0.0000  0.0142  0.0000 (multiplicity 4)  6 Ga 3.09-3.27, 6 Ag 3.13-3.31
Y  0.0000  0.3271  0.0279 (multiplicity 4)  5 Ga 3.09-3.43, 9 Ag 3.15-3.40
Ga  0.0000  0.1043  0.6976 (multiplicity 4)  4 Ag 2.63-2.78
Ga  0.0000  0.2696  0.5764 (multiplicity 4)  7 Ag 2.56-2.83
Ga  0.0000  0.4486  0.8002 (multiplicity 4)  5 Ag 2.66-2.82
Ag  0.0000  0.1063  0.3017 (multiplicity 4)  3 Ga 2.66-2.78, 1 Ag 2.79
Ag  0.0000  0.1985  0.8670 (multiplicity 4)  4 Ga 2.64-2.83, 1 Ag 2.83
Ag  0.0000  0.2176  0.2630 (multiplicity 4)  3 Ga 2.56-2.65, 2 Ag 2.79-2.83
Ag  0.0000  0.3753  0.5144 (multiplicity 4)  2 Ga 2.67-2.72, 1 Ag 2.87
Ag  0.0000  0.4486  0.2006 (multiplicity 4)  4 Ga 2.63-2.82, 1 Ag 2.87

<Q>
## Y2Ga3Ag5 (PBE-GGA)

Data for a relaxed Y2Ga3Ag5 crystal.

Output
Total magnetization, μB per cell: 0.0
Density of states at the Fermi level, states/eV/f.u.: 4.7
V, Å³/atom: 20.44

Cell lengths 11.5809, 12.0965, 5.8362 Å; angles 90.00, 90.00, 90.00 degrees
With the nearest neighbours (Å) after each atom.
Space group Ibam (No. 72)
Symmetry-distinct sites (fractional):
Y  0.1316  0.2331  0.0000 (multiplicity 8)  4 Ag 3.08-3.24, 4 Ga 3.14-3.26
Ga  0.0000  0.5000  0.2500 (multiplicity 4)  6 Ag 2.66-2.82, 2 Ga 2.92
Ga  0.1315  0.1370  0.5000 (multiplicity 8)  5 Ag 2.55-2.68
Ag  0.0000  0.0000  0.2500 (multiplicity 4)  4 Ga 2.68, 4 Ag 2.92-2.98
Ag  0.1065  0.3467  0.5000 (multiplicity 8)  3 Ga 2.55-2.66, 2 Ag 2.84
Ag  0.2431  0.5000  0.2500 (multiplicity 8)  3 Ga 2.64-2.82, 4 Ag 2.84-2.92

Quick look at relative energies in meV/atom: <P> 0; <Q> 26.

<P>
## Y3Ga2Ag (PBE-GGA)

Data for a relaxed Y3Ga2Ag crystal.

Output
Total magnetization, μB per cell: 0.0
Density of states at the Fermi level, states/eV/f.u.: 4.9
V, Å³/atom: 23.56

Cell lengths 5.1034, 5.1034, 12.5361 Å; angles 90.00, 90.00, 120.00 degrees
With the nearest neighbours (Å) after each atom.
Space group P-3m1 (No. 164)
Symmetry-distinct sites (fractional):
Y  0.0000  0.0000  0.2455 (multiplicity 2)  5 Ga 3.08-3.19, 3 Ag 3.12
Y  0.3333  0.6667  0.4168 (multiplicity 2)  4 Ga 3.07-3.13, 4 Ag 3.15-3.21
Y  0.3333  0.6667  0.9201 (multiplicity 2)  1 Ag 3.10, 7 Ga 3.11-3.17
Ga  0.0000  0.0000  0.0000 (multiplicity 1)  8 Y 3.08-3.11
Ga  0.0000  0.0000  0.5000 (multiplicity 1)  8 Y 3.13-3.19
Ga  0.3333  0.6667  0.1723 (multiplicity 2)  8 Y 3.07-3.17
Ag  0.3333  0.6667  0.6727 (multiplicity 2)  8 Y 3.10-3.21

<Q>
## Y3Ga2Ag (PBE-GGA)

Data for a relaxed Y3Ga2Ag crystal.

Output
Total magnetization, μB per cell: 0.0
Density of states at the Fermi level, states/eV/f.u.: 4.3
V, Å³/atom: 23.40

Cell lengths 3.5484, 3.5484, 11.1515 Å; angles 90.00, 90.00, 90.00 degrees
With the nearest neighbours (Å) after each atom.
Space group P4/mmm (No. 123)
Symmetry-distinct sites (fractional):
Y  0.0000  0.0000  0.0000 (multiplicity 1)  8 Ga 3.13
Y  0.0000  0.0000  0.3277 (multiplicity 2)  4 Ga 3.08, 4 Ag 3.16
Ga  0.5000  0.5000  0.1681 (multiplicity 2)  8 Y 3.08-3.13
Ag  0.5000  0.5000  0.5000 (multiplicity 1)  8 Y 3.16

Quick look at relative energies in meV/atom: <P> 0; <Q> 7.

<P>
## YGa3Ag (PBE-GGA)

Data for a relaxed YGa3Ag crystal.

Output
Total magnetization, μB per cell: 0.0
Density of states at the Fermi level, states/eV/f.u.: 2.3
V, Å³/atom: 20.78

Cell lengths 4.1658, 24.1442, 4.1318 Å; angles 90.00, 90.00, 90.00 degrees
With the nearest neighbours (Å) after each atom.
Space group Cmmm (No. 65)
Symmetry-distinct sites (fractional):
Y  0.0000  0.1748  0.0000 (multiplicity 4)  6 Ga 3.16-3.21, 4 Ag 3.23
Ga  0.0000  0.0521  0.5000 (multiplicity 4)  1 Ga 2.51, 2 Ag 2.64
Ga  0.0000  0.2765  0.5000 (multiplicity 4)  2 Ga 2.44, 1 Ag 2.52
Ga  0.0000  0.4484  0.0000 (multiplicity 4)  1 Ga 2.49, 2 Ag 2.63
Ag  0.0000  0.3809  0.5000 (multiplicity 4)  5 Ga 2.52-2.64

<Q>
## YGa3Ag (PBE-GGA)

Data for a relaxed YGa3Ag crystal.

Output
Total magnetization, μB per cell: 0.0
Density of states at the Fermi level, states/eV/f.u.: 4.7
V, Å³/atom: 33.13

Cell lengths 5.4922, 5.4922, 5.4922 Å; angles 90.00, 90.00, 90.00 degrees
With the nearest neighbours (Å) after each atom.
Space group Pm-3m (No. 221)
Symmetry-distinct sites (fractional):
Y  0.0000  0.0000  0.0000 (multiplicity 1)  6 Ga 2.75
Ga  0.0000  0.0000  0.5000 (multiplicity 3)  2 Y 2.75
Ag  0.5000  0.5000  0.5000 (multiplicity 1)  12 Ga 3.88

Quick look at relative energies in meV/atom: <P> 0; <Q> 1139.

<P>
## Y2Ga3Ag2 (PBE-GGA)

Data for a relaxed Y2Ga3Ag2 crystal.

Output
Total magnetization, μB per cell: 0.0
Density of states at the Fermi level, states/eV/f.u.: 2.6
V, Å³/atom: 20.58

Cell lengths 10.7175, 4.4119, 6.6930 Å; angles 90.00, 114.43, 90.00 degrees
With the nearest neighbours (Å) after each atom.
Space group C2/m (No. 12)
Symmetry-distinct sites (fractional):
Y  0.1486  0.0000  0.2722 (multiplicity 4)  4 Ga 3.05-3.25, 4 Ag 3.13-3.18
Ga  0.0000  0.5000  0.5000 (multiplicity 2)  2 Ga 2.63, 4 Ag 2.82
Ga  0.0941  0.5000  0.9304 (multiplicity 4)  2 Ga 2.55-2.63, 3 Ag 2.70-2.71
Ag  0.1494  0.0000  0.7474 (multiplicity 4)  5 Ga 2.70-2.82

<Q>
## Y2Ga3Ag2 (PBE-GGA)

Data for a relaxed Y2Ga3Ag2 crystal.

Output
Total magnetization, μB per cell: 0.0
Density of states at the Fermi level, states/eV/f.u.: 4.4
V, Å³/atom: 20.93

Cell lengths 4.2253, 18.8826, 7.3458 Å; angles 90.00, 90.00, 90.00 degrees
With the nearest neighbours (Å) after each atom.
Space group Cmcm (No. 63)
Symmetry-distinct sites (fractional):
Y  0.0000  0.0553  0.2500 (multiplicity 4)  9 Ga 3.21-3.25, 4 Ag 3.55
Y  0.0000  0.1542  0.7500 (multiplicity 4)  6 Ga 3.07-3.08, 6 Ag 3.14-3.34
Ga  0.0000  0.2273  0.2500 (multiplicity 4)  6 Ag 2.67-2.77
Ga  0.0000  0.4431  0.0781 (multiplicity 8)  2 Ga 2.44-2.53, 1 Ag 2.63
Ag  0.0000  0.3140  0.5550 (multiplicity 8)  4 Ga 2.63-2.77, 1 Ag 2.87

Quick look at relative energies in meV/atom: <P> 39; <Q> 0.

<P>
## ZnGa2Ag2 (PBE-GGA)

Data for a relaxed ZnGa2Ag2 crystal.

Output
Total magnetization, μB per cell: 0.0
Density of states at the Fermi level, states/eV/f.u.: 2.7
V, Å³/atom: 18.25

Cell lengths 6.7006, 6.7006, 4.0649 Å; angles 90.00, 90.00, 90.00 degrees
With the nearest neighbours (Å) after each atom.
Space group P4/mbm (No. 127)
Symmetry-distinct sites (fractional):
Zn  0.0000  0.0000  0.0000 (multiplicity 2)  4 Ga 2.58
Ga  0.1414  0.3586  0.0000 (multiplicity 4)  2 Zn 2.58, 1 Ga 2.68, 6 Ag 2.77-2.87
Ag  0.1604  0.6604  0.5000 (multiplicity 4)  6 Ga 2.77-2.87, 1 Ag 3.04

<Q>
## ZnGa2Ag2 (PBE-GGA)

Data for a relaxed ZnGa2Ag2 crystal.

Output
Total magnetization, μB per cell: 0.0
Density of states at the Fermi level, states/eV/f.u.: 1.7
V, Å³/atom: 18.77

Cell lengths 3.6912, 3.6912, 13.7746 Å; angles 90.00, 90.00, 90.00 degrees
With the nearest neighbours (Å) after each atom.
Space group I4/mmm (No. 139)
Symmetry-distinct sites (fractional):
Zn  0.0000  0.0000  0.0000 (multiplicity 2)  8 Ag 2.94
Ga  0.0000  0.5000  0.2500 (multiplicity 4)  4 Ga 2.61, 4 Ag 2.79
Ag  0.0000  0.0000  0.4015 (multiplicity 4)  1 Ag 2.71, 4 Ga 2.79, 4 Zn 2.94

Quick look at relative energies in meV/atom: <P> 0; <Q> 17.